Below is YCuReSb after structural relaxation, with properties calculated at the PBE level.

Properties
* magnetization: 0.0 μB per cell

Cell: 6.672 6.672 6.672 Å, 90.00 90.00 90.00°
Space group F-43m (No. 216)
Unique sites:
Y 0.000 0.000 0.000
Cu 0.250 0.250 0.750
Re 0.250 0.250 0.250
Sb 0.000 0.000 0.500

---

Below is YCuReSb after structural relaxation, with properties calculated at the PBE level.

Properties
* magnetization: 0.0 μB per cell

Cell: 6.778 6.778 6.778 Å, 90.00 90.00 90.00°
Space group F-43m (No. 216)
Unique sites:
Y 0.000 0.000 0.000
Cu 0.000 0.000 0.500
Re 0.250 0.250 0.750
Sb 0.250 0.250 0.250

---

Below is ScCuReSi after structural relaxation, with properties calculated at the PBE level.

Properties
* magnetization: 0.0 μB per cell

Cell: 6.150 6.150 6.150 Å, 90.00 90.00 90.00°
Space group F-43m (No. 216)
Unique sites:
Sc 0.000 0.000 0.000
Cu 0.250 0.250 0.750
Re 0.250 0.250 0.250
Si 0.000 0.000 0.500

---

In the order shown, the computed E values come out to -6.449, -6.108, -7.017 eV/atom.